# 1
# PmMg3Cd4, optimized geometry, DFT PBE
data_PmMg3Cd4
_chemical_formula_sum 'Pm2 Mg6 Cd8'
_space_group_name_H-M_alt 'P 1'
_space_group_IT_number 1
_cell_length_a 4.896
_cell_length_b 7.738
_cell_length_c 9.789
_cell_angle_alpha 90.00
_cell_angle_beta 90.00
_cell_angle_gamma 90.00
loop_
_space_group_symop_operation_xyz
'x,y,z'
loop_
_atom_site_label
_atom_site_fract_x
_atom_site_fract_y
_atom_site_fract_z
_atom_site_occupancy
Pm1 0.000 0.500 0.500 1
Pm2 0.000 0.500 0.000 1
Cd1 0.500 0.234 0.500 1
Cd2 0.500 0.234 0.000 1
Cd3 0.001 0.234 0.250 1
Cd4 0.999 0.766 0.750 1
Cd5 0.001 0.766 0.250 1
Cd6 0.999 0.234 0.750 1
Cd7 0.500 0.766 0.500 1
Cd8 0.500 0.766 0.000 1
Mg1 0.500 0.500 0.250 1
Mg2 0.500 0.500 0.750 1
Mg3 0.000 0.000 0.000 1
Mg4 0.000 0.000 0.500 1
Mg5 0.501 0.000 0.250 1
Mg6 0.499 0.000 0.750 1
# M_tot = 0.00 μB per cell
# Density of states at the Fermi level = 0.549 states/eV/atom
# Space group = P4/mmm, No. 123
# Calculated density = 5.98 Mg/m³
# DFT total energy = -1.854 eV per atom
# Energy of formation from the pure elements = -1.63 eV/f.u.

***

# 2
# PmMg3Cd, optimized geometry, DFT PBE
data_PmMg3Cd
_chemical_formula_sum 'Pm2 Mg6 Cd2'
_space_group_name_H-M_alt 'P 1'
_space_group_IT_number 1
_cell_length_a 4.825
_cell_length_b 7.676
_cell_length_c 7.580
_cell_angle_alpha 105.92
_cell_angle_beta 90.00
_cell_angle_gamma 108.32
loop_
_space_group_symop_operation_xyz
'x,y,z'
loop_
_atom_site_label
_atom_site_fract_x
_atom_site_fract_y
_atom_site_fract_z
_atom_site_occupancy
Cd1 0.473 0.945 0.808 1
Cd2 0.527 0.055 0.192 1
Mg1 0.269 0.537 0.664 1
Mg2 0.072 0.143 0.392 1
Mg3 0.731 0.463 0.336 1
Mg4 0.928 0.857 0.608 1
Mg5 0.634 0.268 0.663 1
Mg6 0.366 0.732 0.337 1
Pm1 0.864 0.728 0.008 1
Pm2 0.136 0.272 0.992 1
# M_tot = 0.00 μB per cell
# Density of states at the Fermi level = 0.575 states/eV/atom
# Space group = C2/m, No. 12
# Calculated density = 4.30 Mg/m³
# DFT total energy = -2.213 eV per atom
# E above lowest polymorph = 0.0 meV/atom
# Energy of formation from the pure elements = -0.62 eV/f.u.